Entry from the Alexandria database: crystalline RuAuSCl2 at its relaxed geometry (PBE).

abc: 4.9693 4.9693 4.3690
angles: 90.00 90.00 90.00
Positions (direct):
Ru 0.0000 0.0000 0.0000
S 0.0000 0.0000 0.5000
Au 0.5000 0.5000 0.5000
Cl 0.0000 0.5000 0.0000
Cl 0.5000 0.0000 0.0000

Final energy   -3.773 eV per atom
Calculated volume   21.58 Å³ per atom
ΔE_f (raw)   301 meV/atom
Symmetry   P4/mmm (123)
Distance to the lowest polymorph of the same formula   0.000 eV/atom
ρ   6.2 Mg/m³

Entry from the Alexandria database: crystalline RuAuSCl2 at its relaxed geometry (PBE).

abc: 4.8701 4.8701 5.0579
angles: 90.00 90.00 90.00
Each line ends with the local moment (μB).
Positions (direct):
Ru 0.5000 0.5000 0.5000  2.99
S 0.0000 0.0000 0.5000  0.20
Au 0.0000 0.0000 0.0000  0.02
Cl 0.0000 0.5000 0.0000  0.06
Cl 0.5000 0.0000 0.0000  0.06

Final energy   -3.116 eV per atom
Calculated volume   23.99 Å³ per atom
ΔE_f (raw)   959 meV/atom
Symmetry   P4/mmm (123)
Distance to the lowest polymorph of the same formula   0.657 eV/atom
ρ   5.6 Mg/m³

Entry from the Alexandria database: crystalline SnRuAuCl2 at its relaxed geometry (PBE).

abc: 5.3801 5.2617 5.3801
angles: 90.00 90.00 90.00
Each line ends with the local moment (μB).
Positions (direct):
Ru 0.5000 0.5000 0.5000  2.69
Au 0.0000 0.5000 0.0000  -0.02
Sn 0.0000 0.0000 0.0000  -0.02
Cl 0.0000 0.0000 0.5000  0.01
Cl 0.5000 0.0000 0.0000  0.01

Final energy   -3.356 eV per atom
Calculated volume   30.46 Å³ per atom
ΔE_f (raw)   693 meV/atom
Symmetry   P4/mmm (123)
ρ   5.3 Mg/m³

Entry from the Alexandria database: crystalline TcRu2AuCl at its relaxed geometry (PBE).

abc: 4.3397 4.7427 4.3397
angles: 90.00 90.00 90.00
Each line ends with the local moment (μB).
Positions (direct):
Ru 0.0000 0.0000 0.5000  0.20
Ru 0.5000 0.0000 0.0000  0.36
Au 0.0000 0.5000 0.0000  0.06
Tc 0.5000 0.5000 0.5000  2.90
Cl 0.0000 0.0000 0.0000  0.02

Final energy   -5.249 eV per atom
Calculated volume   17.86 Å³ per atom
ΔE_f (raw)   1559 meV/atom
Symmetry   P4/mmm (123)
ρ   9.9 Mg/m³

Entry from the Alexandria database: crystalline TlRuAu2Cl at its relaxed geometry (PBE).

abc: 5.1085 4.3938 5.1085
angles: 90.00 90.00 90.00
Each line ends with the local moment (μB).
Positions (direct):
Ru 0.0000 0.5000 0.0000  0.82
Tl 0.5000 0.5000 0.5000  0.00
Au 0.0000 0.0000 0.5000  -0.01
Au 0.5000 0.0000 0.0000  -0.01
Cl 0.0000 0.0000 0.0000  0.01

Final energy   -3.059 eV per atom
Calculated volume   22.93 Å³ per atom
ΔE_f (raw)   950 meV/atom
Symmetry   P4/mmm (123)
ρ   10.6 Mg/m³

Entry from the Alexandria database: crystalline TlRuAuCl6 at its relaxed geometry (PBE).

abc: 6.7239 6.7273 6.7693
angles: 90.03 90.01 59.98
Each line ends with the local moment (μB).
Positions (direct):
Tl 0.0000 0.0000 0.0000  0.01
Ru 0.3334 0.3333 0.5000  1.08
Au 0.6666 0.6667 0.5000  0.31
Cl 0.0376 0.3475 0.3029  0.08
Cl 0.3474 0.0377 0.6969  0.08
Cl 0.6149 0.3472 0.6972  0.08
Cl 0.0376 0.6150 0.6972  0.08
Cl 0.3473 0.6149 0.3031  0.08
Cl 0.6150 0.0378 0.3027  0.08

Final energy   -3.386 eV per atom
Calculated volume   29.46 Å³ per atom
ΔE_f (raw)   -497 meV/atom
Symmetry   P312 (149)
ρ   4.5 Mg/m³

Entry from the Alexandria database: crystalline AuS3Cl12 at its relaxed geometry (PBE).

abc: 13.3900 13.3911 11.6875
angles: 55.05 55.05 60.00
Positions (direct):
Au 0.1184 0.1184 0.6448
Au 0.6184 0.6184 0.1448
S 0.6186 0.3104 0.0403
S 0.1186 0.5306 0.5403
S 0.8104 0.1186 0.5403
S 0.3104 0.0306 0.0403
S 0.0306 0.6186 0.0403
S 0.5306 0.8104 0.5403
Cl 0.1489 0.2195 0.0134
Cl 0.0923 0.3020 0.6608
Cl 0.9457 0.9808 0.4698
Cl 0.7853 0.3430 0.8715
Cl 0.2853 0.5002 0.3715
Cl 0.4458 0.1036 0.9698
Cl 0.5923 0.4450 0.1608
Cl 0.9808 0.6036 0.4698
Cl 0.6489 0.1182 0.5134
Cl 0.9450 0.0923 0.6608
Cl 0.8430 0.2853 0.3715
Cl 0.1182 0.7195 0.5134
Cl 0.1036 0.4808 0.9698
Cl 0.6182 0.1489 0.0134
Cl 0.3430 0.0002 0.8715
Cl 0.4450 0.8019 0.1608
Cl 0.8019 0.5923 0.1608
Cl 0.4808 0.4457 0.9698
Cl 0.7195 0.6489 0.5134
Cl 0.0002 0.7853 0.8715
Cl 0.5002 0.8430 0.3715
Cl 0.2195 0.6181 0.0134
Cl 0.3019 0.9450 0.6608
Cl 0.6037 0.9457 0.4698

Final energy   -2.404 eV per atom
Calculated volume   42.53 Å³ per atom
ΔE_f (raw)   -41 meV/atom
Symmetry   R3c (161)
ρ   1.8 Mg/m³

Entry from the Alexandria database: crystalline AuS2Cl at its relaxed geometry (PBE).

abc: 8.1455 8.1455 6.2485
angles: 49.32 49.32 90.00
Positions (direct):
S 0.6745 0.1250 0.2500
S 0.0755 0.6250 0.2500
S 0.3750 0.3255 0.7500
S 0.8750 0.9245 0.7500
Au 0.0000 0.0000 0.0000
Au 0.7500 0.2500 0.5000
Cl 0.5000 0.5000 0.0000
Cl 0.2500 0.7500 0.5000

Final energy   -2.904 eV per atom
Calculated volume   20.09 Å³ per atom
ΔE_f (raw)   441 meV/atom
Symmetry   I-42d (122)
ρ   6.1 Mg/m³